## TbGdAg2 (PBE)

Data for a relaxed structure of TbGdAg2.

Structure (POSCAR):
```
TbGdAg2
1.0
5.180 0.000 0.000
2.590 4.486 0.000
2.590 1.495 4.230
Tb Ag Gd
1 2 1
direct
0.000 0.000 0.000
0.750 0.750 0.750
0.250 0.250 0.250
0.500 0.500 0.500
```

Summary:
magnetization: 1.795 μB/atom
energy above the most stable polymorph in this dataset: 6 meV/atom
formation energy: -0.305 eV per atom



## KGaSe2N (PBE)

Data for a relaxed structure of KGaSe2N.

Structure (POSCAR):
```
KGaSe2N
1.0
-2.840 -0.170 4.941
-2.686 -4.730 -1.706
2.605 -1.995 1.429
Ga N K Se
1 1 1 2
direct
0.000 0.000 0.000
0.000 0.000 0.500
0.500 0.500 0.500
0.000 0.500 0.000
0.500 0.000 0.000
```

Summary:
magnetization: 0.337 μB/atom
energy above the most stable polymorph in this dataset: 0 meV/atom
energy relative to the elements, uncorrected: 1.08 eV per formula unit



## MgO4 (PBE)

Data for a relaxed structure of MgO4.

Structure (POSCAR):
```
MgO4
1.0
3.368 0.000 0.590
1.684 4.510 0.295
0.905 0.000 4.737
O Mg
4 1
direct
0.313 0.124 0.251
0.564 0.749 0.124
0.687 0.876 0.749
0.436 0.251 0.876
0.000 0.000 0.000
```

Summary:
magnetization: 0.400 μB/atom
energy relative to the elements, uncorrected: 0.16 eV per formula unit



## LiPm3Te4 (PBE)

Data for a relaxed structure of LiPm3Te4.

Structure (POSCAR):
```
LiPm3Te4
1.0
6.287 0.000 0.000
0.000 6.287 0.000
0.000 0.000 6.287
Te Pm Li
4 3 1
direct
0.000 0.000 0.500
0.500 0.500 0.500
0.000 0.500 0.000
0.500 0.000 0.000
0.500 0.500 0.000
0.500 0.000 0.500
0.000 0.500 0.500
0.000 0.000 0.000
```

Summary:
magnetization: 0.000 μB/atom
energy above the most stable polymorph in this dataset: 0 meV/atom
energy relative to the elements, uncorrected: -11.00 eV per formula unit



Q: Which value of magnetization does entry 3 give?
A: 0.400 μB/atom



Q: Which of these has the lowest magnetization?
A: LiPm3Te4



Q: What is the magnetization in the third record?
A: 0.400 μB/atom



Q: Number 4 is which compound?
A: LiPm3Te4